DFT (PBE-GGA) results for an optimized crystal structure of Pm4Sm4Dy.

Uncorrected energy   -4.7063 eV/atom
Density   7.34 g/cm3
Energy relative to the elements   0.01 eV per atom

Lattice parameters (Å, degrees): 5.136 8.117 9.586 53.72 74.45 71.55
Sites, in units of the cell vectors:
Pm: 0.278 0.111 0.333
Pm: 0.722 0.889 0.667
Pm: 0.834 0.331 0.000
Pm: 0.166 0.669 0.000
Sm: 0.611 0.446 0.332
Sm: 0.945 0.777 0.333
Sm: 0.389 0.554 0.668
Sm: 0.055 0.223 0.667
Dy: 0.500 0.000 0.000

=====

DFT (PBE-GGA) results for an optimized crystal structure of Pm8SmDy2.

Uncorrected energy   -4.5556 eV/atom
Density   7.18 g/cm3
Energy relative to the elements   0.17 eV per atom

Lattice parameters (Å, degrees): 6.722 10.394 10.394 38.06 59.61 59.61
Sites, in units of the cell vectors:
Pm: 0.231 0.351 0.826
Pm: 0.769 0.174 0.649
Pm: 0.173 0.756 0.756
Pm: 0.827 0.244 0.244
Pm: 0.231 0.826 0.351
Pm: 0.769 0.649 0.174
Pm: 0.727 0.592 0.592
Pm: 0.273 0.408 0.408
Sm: 0.000 0.000 0.000
Dy: 0.596 0.799 0.799
Dy: 0.404 0.201 0.201

=====

DFT (PBE-GGA) results for an optimized crystal structure of Pm12Sm2Dy5.

Uncorrected energy   -4.5809 eV/atom
Density   7.30 g/cm3
Energy relative to the elements   0.13 eV per atom

Lattice parameters (Å, degrees): 10.178 9.462 7.996 89.02 90.00 122.54
Sites, in units of the cell vectors:
Pm: 0.844 0.688 0.121
Pm: 0.039 0.616 0.794
Pm: 0.577 0.616 0.794
Pm: 0.168 0.789 0.389
Pm: 0.620 0.789 0.389
Pm: 0.448 0.897 0.710
Pm: 0.552 0.103 0.290
Pm: 0.832 0.211 0.611
Pm: 0.380 0.211 0.611
Pm: 0.961 0.384 0.206
Pm: 0.423 0.384 0.206
Pm: 0.156 0.312 0.879
Sm: 0.768 0.000 0.000
Sm: 0.232 0.000 0.000
Dy: 0.246 0.493 0.511
Dy: 0.352 0.704 0.083
Dy: 0.000 0.000 0.500
Dy: 0.648 0.296 0.917
Dy: 0.754 0.507 0.489

=====

DFT (PBE-GGA) results for an optimized crystal structure of Pm4SmDy7.

Uncorrected energy   -4.5761 eV/atom
Density   7.84 g/cm3
Energy relative to the elements   0.09 eV per atom

Lattice parameters (Å, degrees): 6.855 6.567 11.852 75.33 50.03 81.92
Sites, in units of the cell vectors:
Pm: 0.525 0.639 0.284
Pm: 0.475 0.361 0.716
Pm: 0.695 0.837 0.691
Pm: 0.305 0.163 0.309
Sm: 0.000 0.000 0.000
Dy: 0.802 0.513 0.949
Dy: 0.198 0.487 0.051
Dy: 0.057 0.318 0.641
Dy: 0.943 0.682 0.359
Dy: 0.281 0.811 0.614
Dy: 0.500 0.000 0.000
Dy: 0.719 0.189 0.386

=====

DFT (PBE-GGA) results for an optimized crystal structure of Pm6SmDy.

Uncorrected energy   -4.7117 eV/atom
Density   7.25 g/cm3
Energy relative to the elements   0.02 eV per atom

Lattice parameters (Å, degrees): 5.137 5.137 10.265 90.00 90.00 90.00
Sites, in units of the cell vectors:
Pm: 0.500 0.500 0.000
Pm: 0.500 0.500 0.500
Pm: 0.500 0.000 0.251
Pm: 0.500 0.000 0.749
Pm: 0.000 0.500 0.251
Pm: 0.000 0.500 0.749
Sm: 0.000 0.000 0.000
Dy: 0.000 0.000 0.500

=====

DFT (PBE-GGA) results for an optimized crystal structure of Pm2Sm6Dy3.

Uncorrected energy   -4.4157 eV/atom
Density   7.23 g/cm3
Energy relative to the elements   0.28 eV per atom

Lattice parameters (Å, degrees): 4.784 4.784 17.195 98.00 98.00 90.00
Sites, in units of the cell vectors:
Pm: 0.455 0.455 0.909
Pm: 0.545 0.545 0.091
Sm: 0.121 0.621 0.243
Sm: 0.621 0.121 0.243
Sm: 0.879 0.379 0.757
Sm: 0.379 0.879 0.757
Sm: 0.698 0.698 0.397
Sm: 0.302 0.302 0.603
Dy: 0.000 0.000 0.000
Dy: 0.800 0.800 0.601
Dy: 0.200 0.200 0.399

=====

DFT (PBE-GGA) results for an optimized crystal structure of Pm2Sm5Dy3.

Uncorrected energy   -4.3123 eV/atom
Density   7.16 g/cm3
Energy relative to the elements   0.38 eV per atom

Lattice parameters (Å, degrees): 6.874 12.404 12.404 44.67 73.91 73.91
Sites, in units of the cell vectors:
Pm: 0.123 0.778 0.976
Pm: 0.877 0.222 0.024
Pm: 0.623 0.976 0.778
Pm: 0.377 0.024 0.222
Sm: 0.250 0.500 0.500
Sm: 0.750 0.500 0.500
Sm: 0.499 0.751 0.751
Sm: 0.001 0.249 0.249
Sm: 0.501 0.249 0.249
Sm: 0.999 0.751 0.751
Sm: 0.126 0.468 0.280
Sm: 0.874 0.532 0.720
Sm: 0.626 0.280 0.468
Sm: 0.374 0.720 0.532
Dy: 0.250 0.000 0.000
Dy: 0.750 0.000 0.000
Dy: 0.378 0.370 0.873
Dy: 0.622 0.630 0.127
Dy: 0.878 0.873 0.370
Dy: 0.122 0.127 0.630

=====

DFT (PBE-GGA) results for an optimized crystal structure of Pm5Sm2Dy3.

Uncorrected energy   -4.5114 eV/atom
Density   7.36 g/cm3
Energy relative to the elements   0.19 eV per atom

Lattice parameters (Å, degrees): 9.795 9.831 11.220 127.39 127.32 67.21
Sites, in units of the cell vectors:
Pm: 0.280 0.530 0.060
Pm: 0.720 0.470 0.940
Pm: 0.019 0.769 0.539
Pm: 0.520 0.270 0.539
Pm: 0.981 0.231 0.461
Pm: 0.480 0.730 0.461
Pm: 0.870 0.617 0.763
Pm: 0.130 0.383 0.237
Pm: 0.393 0.146 0.763
Pm: 0.607 0.854 0.237
Sm: 0.785 0.022 0.755
Sm: 0.215 0.978 0.245
Sm: 0.469 0.732 0.755
Sm: 0.531 0.268 0.245
Dy: 0.227 0.977 0.954
Dy: 0.773 0.023 0.046
Dy: 0.730 0.464 0.243
Dy: 0.270 0.536 0.757
Dy: 0.013 0.779 0.243
Dy: 0.987 0.221 0.757

=====

DFT (PBE-GGA) results for an optimized crystal structure of Pm5SmDy4.

Uncorrected energy   -4.6524 eV/atom
Density   7.61 g/cm3
Energy relative to the elements   0.04 eV per atom

Lattice parameters (Å, degrees): 3.561 11.506 8.774 71.35 101.70 90.00
Sites, in units of the cell vectors:
Pm: 0.210 0.385 0.420
Pm: 0.189 0.921 0.379
Pm: 0.811 0.079 0.621
Pm: 0.500 0.500 0.000
Pm: 0.790 0.615 0.580
Sm: 0.500 0.000 0.000
Dy: 0.605 0.203 0.210
Dy: 0.917 0.292 0.833
Dy: 0.395 0.797 0.790
Dy: 0.083 0.708 0.167

=====

DFT (PBE-GGA) results for an optimized crystal structure of Pm7Sm2Dy.

Uncorrected energy   -4.0896 eV/atom
Density   6.02 g/cm3
Energy relative to the elements   0.64 eV per atom

Lattice parameters (Å, degrees): 5.437 9.630 9.630 126.04 90.00 90.00
Sites, in units of the cell vectors:
Pm: 0.000 0.794 0.206
Pm: 0.000 0.206 0.794
Pm: 0.500 0.071 0.289
Pm: 0.500 0.929 0.711
Pm: 0.500 0.289 0.071
Pm: 0.500 0.711 0.929
Pm: 0.500 0.500 0.500
Sm: 0.500 0.705 0.295
Sm: 0.500 0.295 0.705
Dy: 0.000 0.000 0.000

=====

DFT (PBE-GGA) results for an optimized crystal structure of PmSmDy.

Uncorrected energy   -4.6271 eV/atom
Density   7.68 g/cm3
Energy relative to the elements   0.06 eV per atom

Lattice parameters (Å, degrees): 3.512 5.706 5.706 120.00 90.00 90.00
Sites, in units of the cell vectors:
Pm: 0.166 0.000 0.000
Sm: 0.667 0.667 0.333
Dy: 0.167 0.333 0.667

=====

DFT (PBE-GGA) results for an optimized crystal structure of Pm5Sm2Dy2.

Uncorrected energy   -4.6959 eV/atom
Density   7.42 g/cm3
Energy relative to the elements   0.01 eV per atom

Lattice parameters (Å, degrees): 5.129 9.562 8.100 53.72 71.54 74.44
Sites, in units of the cell vectors:
Pm: 0.334 0.001 0.332
Pm: 0.666 0.999 0.668
Pm: 0.222 0.666 0.890
Pm: 0.778 0.334 0.110
Pm: 0.000 0.000 0.000
Sm: 0.110 0.334 0.446
Sm: 0.890 0.666 0.554
Dy: 0.445 0.335 0.776
Dy: 0.555 0.665 0.224

=====

- Which value of uncorrected energy does entry 8 give?
  -4.5114 eV/atom

=====

- Which value of density does entry 11 give?
  7.68 g/cm3

=====

- What is the uncorrected energy in the eleventh record?
  -4.6271 eV/atom

=====

- Which value of density does entry 5 give?
  7.25 g/cm3